Entry 1:
Ac2Ge4PtAu3 after structural relaxation, computed with PBE.

Results
The calculated density is 11.48 g/cm³. The energy is -4.922 eV/atom. As for the formation energy: -666 meV per atom.

abc: 4.6064 4.6064 10.4334
angles: 90.00 90.00 90.00
With the nearest neighbours (Å) after each atom.
Space group P-4m2 (No. 115)
Unique sites:
1 Ac 0.0000 0.5000 0.2443 [2 per cell]  2 Pt 3.44, 6 Au 3.44-3.51, 9 Ge 3.50-3.83
2 Ge 0.0000 0.0000 0.5000 [1 per cell]  4 Au 2.67
3 Ge 0.0000 0.5000 0.8772 [2 per cell]  3 Au 2.59-2.64, 2 Pt 2.64
4 Ge 0.5000 0.5000 0.5000 [1 per cell]  4 Au 2.67
5 Pt 0.5000 0.5000 0.0000 [1 per cell]  4 Ge 2.64
6 Au 0.0000 0.0000 0.0000 [1 per cell]  4 Ge 2.64
7 Au 0.0000 0.5000 0.6292 [2 per cell]  5 Ge 2.59-2.67

=====

Entry 2:
Na2Zn3In4 after structural relaxation, computed with PBE.

Results
The calculated density is 5.43 g/cm³. The energy above the lowest structure with this stoichiometry comes out at 12 meV/atom. The energy is -1.964 eV/atom. As for the formation energy: -29 meV per atom.

abc: 6.0351 16.2468 8.7457
angles: 90.00 90.00 90.00
With the nearest neighbours (Å) after each atom.
Space group Cmce (No. 64)
Unique sites:
1 Na 0.0000 0.1029 0.1004 [8 per cell]  4 Zn 3.26-3.56, 8 In 3.37-3.64
2 Zn 0.0000 0.0000 0.5000 [4 per cell]  6 In 2.86-2.96
3 Zn 0.2500 0.2386 0.7500 [8 per cell]  5 In 2.83-2.91, 2 Zn 3.02
4 In 0.0000 0.1819 0.4862 [8 per cell]  5 Zn 2.87-2.96
5 In 0.2500 0.0646 0.7500 [8 per cell]  3 Zn 2.83-2.86, 2 In 3.02

=====

Entry 3:
V5CrH4 after structural relaxation, computed with PBE.

Results
The calculated density is 5.82 g/cm³. The energy is -6.980 eV/atom.

abc: 9.9492 3.0397 6.1339
angles: 90.00 106.93 90.00
With the nearest neighbours (Å) after each atom.
Space group C2/m (No. 12)
Unique sites:
1 V 0.0000 0.0000 0.0000 [2 per cell]  4 H 1.80
2 V 0.1640 0.5000 0.3435 [4 per cell]  2 H 1.73-1.75
3 V 0.1752 0.5000 0.8387 [4 per cell]  3 H 1.72-1.79
4 Cr 0.0000 0.0000 0.5000 [2 per cell]  2 H 1.69
5 H 0.0034 0.5000 0.8455 [4 per cell]  4 V 1.72-1.80, 1 H 1.92
6 H 0.1647 0.0000 0.6796 [4 per cell]  1 Cr 1.69, 3 V 1.75-1.79

=====

Entry 4:
Dy2HoAg4 after structural relaxation, computed with PBE.

Results
The calculated density is 8.66 g/cm³. The energy is -3.719 eV/atom. As for the formation energy: -121 meV per atom.

abc: 5.2677 5.2677 12.7336
angles: 90.00 90.00 90.00
With the nearest neighbours (Å) after each atom.
Space group I4/mmm (No. 139)
Unique sites:
1 Dy 0.0000 0.0000 0.2261 [4 per cell]  8 Ag 2.96-3.29
2 Ho 0.0000 0.0000 0.5000 [2 per cell]  8 Ag 3.04
3 Ag 0.0000 0.5000 0.1195 [8 per cell]  4 Dy 2.96-3.29, 2 Ho 3.04, 1 Ag 3.04